VASP calculation (PBE) on Pa2MnCd after structural relaxation.

Properties
- calculated total energy (eV/cell) = -29.13
- ΔE to the lowest computed polymorph (meV/atom) = 0

Cell: 3.0816 3.0816 8.8702 Å, 90.00 90.00 90.00°
Sites, in units of the cell vectors:
Pa1 0.0000 0.0000 0.7983
Pa2 0.0000 0.0000 0.2017
Mn1 0.5000 0.5000 0.0000
Cd1 0.5000 0.5000 0.5000



VASP calculation (PBE) on MnCdPb2 after structural relaxation.

Properties
- calculated total energy (eV/cell) = -16.24

Cell: 10.4670 10.4670 10.4670 Å, 18.44 18.44 18.44°
Site moments in Bohr magnetons follow the coordinates.
Sites, in units of the cell vectors:
Cd1 0.2500 0.2500 0.2500  0.01
Mn1 0.7500 0.7500 0.7500  3.69
Pb1 0.0087 0.0087 0.0087  -0.05
Pb2 0.4913 0.4913 0.4913  -0.05



VASP calculation (PBE) on MnCdPb2 after structural relaxation.

Properties
- calculated total energy (eV/cell) = -16.20

Cell: 5.9441 5.9441 5.9441 Å, 135.99 135.99 63.99°
Site moments in Bohr magnetons follow the coordinates.
Sites, in units of the cell vectors:
Cd1 0.5000 0.5000 0.0000  0.00
Mn1 0.7500 0.2500 0.5000  4.02
Pb1 0.0000 0.0000 0.0000  -0.02
Pb2 0.2500 0.7500 0.5000  -0.01



VASP calculation (PBE) on MnCdPb after structural relaxation.

Properties
- calculated total energy (eV/cell) = -12.82
- ΔE to the lowest computed polymorph (meV/atom) = 15

Cell: 6.8220 6.8221 3.2596 Å, 76.18 76.18 27.64°
Site moments in Bohr magnetons follow the coordinates.
Sites, in units of the cell vectors:
Cd1 0.0222 0.0222 0.9778  -0.02
Mn1 0.6580 0.6580 0.3420  3.73
Pb1 0.3198 0.3198 0.6802  -0.04



VASP calculation (PBE) on MnCd3Pb after structural relaxation.

Properties
- calculated total energy (eV/cell) = -13.20
- ΔE to the lowest computed polymorph (meV/atom) = 0

Cell: 5.1687 5.1687 5.1687 Å, 90.00 90.00 90.00°
Site moments in Bohr magnetons follow the coordinates.
Sites, in units of the cell vectors:
Pb1 0.5000 0.5000 0.5000  -0.08
Mn1 0.0000 0.0000 0.0000  3.39
Cd1 0.0000 0.5000 0.0000  -0.02
Cd2 0.0000 0.0000 0.5000  -0.02
Cd3 0.5000 0.0000 0.0000  -0.04



VASP calculation (PBE) on MnCdPb2 after structural relaxation.

Properties
- calculated total energy (eV/cell) = -16.41

Cell: 6.6223 6.6223 6.6223 Å, 151.12 133.97 55.25°
Site moments in Bohr magnetons follow the coordinates.
Sites, in units of the cell vectors:
Cd1 0.4563 0.4563 0.0000  -0.02
Mn1 0.2558 0.7558 0.5000  3.75
Pb1 0.0397 0.0397 0.0000  -0.04
Pb2 0.7482 0.2482 0.5000  -0.05



VASP calculation (PBE) on MnCdPb2 after structural relaxation.

Properties
- calculated total energy (eV/cell) = -16.60

Cell: 3.3562 3.3562 8.8010 Å, 90.00 90.00 90.00°
Site moments in Bohr magnetons follow the coordinates.
Sites, in units of the cell vectors:
Cd1 0.0000 0.0000 0.5431  -0.03
Mn1 0.5000 0.5000 0.7307  3.77
Pb1 0.0000 0.0000 0.9506  -0.04
Pb2 0.5000 0.5000 0.2756  0.04



VASP calculation (PBE) on MnCdPb3 after structural relaxation.

Properties
- calculated total energy (eV/cell) = -19.68
- ΔE to the lowest computed polymorph (meV/atom) = 0

Cell: 5.2712 5.2712 5.2712 Å, 90.00 90.00 90.00°
Site moments in Bohr magnetons follow the coordinates.
Sites, in units of the cell vectors:
Pb1 0.0000 0.5000 0.0000  -0.07
Pb2 0.0000 0.0000 0.5000  0.00
Pb3 0.5000 0.0000 0.0000  -0.14
Mn1 0.0000 0.0000 0.0000  2.64
Cd1 0.5000 0.5000 0.5000  -0.02



VASP calculation (PBE) on MnCdPb after structural relaxation.

Properties
- calculated total energy (eV/cell) = -12.66
- ΔE to the lowest computed polymorph (meV/atom) = 69

Cell: 3.2895 3.2895 7.3952 Å, 90.00 90.00 120.00°
Site moments in Bohr magnetons follow the coordinates.
Sites, in units of the cell vectors:
Cd1 0.0000 0.0000 0.0319  -0.01
Mn1 0.6667 0.3333 0.3247  3.79
Pb1 0.3333 0.6667 0.6434  -0.06



VASP calculation (PBE) on MnCd4Pb after structural relaxation.

Properties
- calculated total energy (eV/cell) = -14.87

Cell: 5.8450 5.8450 5.8450 Å, 60.00 60.00 60.00°
Site moments in Bohr magnetons follow the coordinates.
Sites, in units of the cell vectors:
Mn1 0.7500 0.7500 0.7500  4.08
Cd1 0.8729 0.3757 0.3757  -0.02
Cd2 0.3757 0.3757 0.8729  -0.02
Cd3 0.3757 0.8729 0.3757  -0.02
Cd4 0.3757 0.3757 0.3757  -0.02
Pb1 0.0000 0.0000 0.0000  -0.02



VASP calculation (PBE) on MnCdPb4 after structural relaxation.

Properties
- calculated total energy (eV/cell) = -21.88

Cell: 6.4264 6.4264 6.4264 Å, 60.00 60.00 60.00°
Site moments in Bohr magnetons follow the coordinates.
Sites, in units of the cell vectors:
Mn1 0.0000 0.0000 0.0000  4.34
Cd1 0.7500 0.7500 0.7500  0.00
Pb1 0.3745 0.8764 0.3745  -0.02
Pb2 0.8764 0.3745 0.3745  -0.02
Pb3 0.3745 0.3745 0.8764  -0.02
Pb4 0.3745 0.3745 0.3745  -0.02



VASP calculation (PBE) on MnCdPb2 after structural relaxation.

Properties
- calculated total energy (eV/cell) = -16.29

Cell: 4.2058 3.4062 7.6391 Å, 65.25 90.00 90.00°
Site moments in Bohr magnetons follow the coordinates.
Sites, in units of the cell vectors:
Cd1 0.5000 0.2500 0.2500  -0.01
Mn1 0.5000 0.7500 0.7500  3.85
Pb1 0.0000 0.0083 0.9812  -0.05
Pb2 0.0000 0.4917 0.5188  -0.05



VASP calculation (PBE) on MnCdPb2 after structural relaxation.

Properties
- calculated total energy (eV/cell) = -31.59

Cell: 4.6672 4.6672 10.5895 Å, 77.27 77.27 90.00°
Site moments in Bohr magnetons follow the coordinates.
Sites, in units of the cell vectors:
Pb1 0.6116 0.1250 0.2500  -0.03
Pb2 0.1384 0.6250 0.2500  -0.03
Pb3 0.3750 0.3884 0.7500  -0.03
Pb4 0.8750 0.8616 0.7500  -0.03
Mn1 0.5000 0.5000 0.0000  4.03
Mn2 0.2500 0.7500 0.5000  4.03
Cd1 0.0000 0.0000 0.0000  -0.01
Cd2 0.7500 0.2500 0.5000  -0.01



VASP calculation (PBE) on MnCdPb2 after structural relaxation.

Properties
- calculated total energy (eV/cell) = -15.89

Cell: 5.2910 5.2910 5.2910 Å, 60.00 60.00 60.00°
Site moments in Bohr magnetons follow the coordinates.
Sites, in units of the cell vectors:
Cd1 0.5000 0.5000 0.5000  0.00
Mn1 0.7500 0.7500 0.7500  4.13
Pb1 0.0000 0.0000 0.0000  -0.02
Pb2 0.2500 0.2500 0.2500  0.01



VASP calculation (PBE) on MnCdPb after structural relaxation.

Properties
- calculated total energy (eV/cell) = -12.86
- ΔE to the lowest computed polymorph (meV/atom) = 0

Cell: 4.6827 4.6827 4.6827 Å, 60.00 60.00 60.00°
Site moments in Bohr magnetons follow the coordinates.
Sites, in units of the cell vectors:
Cd1 0.5000 0.5000 0.5000  -0.03
Mn1 0.7500 0.7500 0.7500  3.62
Pb1 0.0000 0.0000 0.0000  -0.11



VASP calculation (PBE) on MnCdPb2 after structural relaxation.

Properties
- calculated total energy (eV/cell) = -16.39

Cell: 3.3637 3.3637 8.9821 Å, 90.00 90.00 89.99°
Site moments in Bohr magnetons follow the coordinates.
Sites, in units of the cell vectors:
Cd1 0.5000 0.5000 0.2500  -0.01
Mn1 0.5000 0.5000 0.7500  3.73
Pb1 0.0000 0.0000 0.9611  -0.05
Pb2 0.0000 0.0000 0.5389  -0.05



VASP calculation (PBE) on MnCdPb2 after structural relaxation.

Properties
- calculated total energy (eV/cell) = -16.40

Cell: 4.7157 3.6477 6.0484 Å, 72.43 90.00 90.00°
Site moments in Bohr magnetons follow the coordinates.
Sites, in units of the cell vectors:
Cd1 0.0000 0.6964 0.4816  -0.03
Mn1 0.5000 0.5477 0.7821  3.77
Pb1 0.0000 0.9724 0.9268  -0.06
Pb2 0.5000 0.2834 0.3095  -0.06



VASP calculation (PBE) on MnCdPb2 after structural relaxation.

Properties
- calculated total energy (eV/cell) = -16.19

Cell: 5.6229 5.6229 5.6229 Å, 130.50 130.50 72.61°
Site moments in Bohr magnetons follow the coordinates.
Sites, in units of the cell vectors:
Cd1 0.2500 0.7500 0.5000  -0.01
Mn1 0.7500 0.2500 0.5000  4.01
Pb1 0.0000 0.0000 0.0000  -0.03
Pb2 0.5000 0.5000 0.0000  -0.03



VASP calculation (PBE) on MnCdPb2 after structural relaxation.

Properties
- calculated total energy (eV/cell) = -16.20

Cell: 5.9618 5.9618 5.5931 Å, 73.64 73.64 32.25°
Site moments in Bohr magnetons follow the coordinates.
Sites, in units of the cell vectors:
Cd1 0.2500 0.2500 0.2500  -0.03
Mn1 0.7500 0.7500 0.7500  3.87
Pb1 0.0257 0.0257 0.9822  -0.03
Pb2 0.4743 0.4743 0.5178  -0.03



VASP calculation (PBE) on MnCdPb2 after structural relaxation.

Properties
- calculated total energy (eV/cell) = -16.25

Cell: 5.5452 5.5452 3.3379 Å, 89.87 89.87 102.57°
Site moments in Bohr magnetons follow the coordinates.
Sites, in units of the cell vectors:
Cd1 0.5000 0.0000 0.5000  0.00
Mn1 0.0000 0.5000 0.5000  4.02
Pb1 0.0000 0.0000 0.0000  -0.03
Pb2 0.5000 0.5000 0.0000  -0.03



VASP calculation (PBE) on Mn2CdSbPb after structural relaxation.

Properties
- calculated total energy (eV/cell) = -23.18
- E_form (uncorrected) (eV per atom) = 0.781

Cell: 5.0195 6.1406 5.0195 Å, 90.00 90.00 90.00°
Site moments in Bohr magnetons follow the coordinates.
Sites, in units of the cell vectors:
Pb1 0.0000 0.5000 0.0000  0.06
Sb1 0.0000 0.0000 0.0000  0.09
Mn1 0.0000 0.0000 0.5000  -3.85
Mn2 0.5000 0.0000 0.0000  -3.82
Cd1 0.5000 0.5000 0.5000  0.00



VASP calculation (PBE) on Y2MnCdPb after structural relaxation.

Properties
- calculated total energy (eV/cell) = -24.68

Cell: 5.6002 4.9632 5.6002 Å, 90.00 90.00 90.00°
Site moments in Bohr magnetons follow the coordinates.
Sites, in units of the cell vectors:
Pb1 0.5000 0.5000 0.5000  -0.06
Y1 0.0000 0.0000 0.5000  -0.13
Y2 0.5000 0.0000 0.0000  -0.23
Mn1 0.0000 0.5000 0.0000  3.93
Cd1 0.0000 0.0000 0.0000  -0.09



VASP calculation (PBE) on ZrMnCdPb2 after structural relaxation.

Properties
- calculated total energy (eV/cell) = -19.91

Cell: 6.3049 6.4031 6.3049 Å, 90.00 90.00 90.00°
Site moments in Bohr magnetons follow the coordinates.
Sites, in units of the cell vectors:
Pb1 0.0000 0.0000 0.5000  -0.02
Pb2 0.5000 0.0000 0.0000  0.00
Mn1 0.5000 0.5000 0.5000  4.63
Zr1 0.0000 0.0000 0.0000  0.26
Cd1 0.0000 0.5000 0.0000  0.01



VASP calculation (PBE) on MnCdPd4 after structural relaxation.

Properties
- calculated total energy (eV/cell) = -32.29
- ΔE to the lowest computed polymorph (meV/atom) = 0

Cell: 2.8914 4.9295 7.3507 Å, 98.50 78.66 72.95°
Site moments in Bohr magnetons follow the coordinates.
Sites, in units of the cell vectors:
Mn1 0.5000 0.5000 0.5000  3.91
Cd1 0.0000 0.0000 0.0000  -0.01
Pd1 0.8460 0.4872 0.8208  0.08
Pd2 0.3183 0.0215 0.3420  0.12
Pd3 0.1540 0.5128 0.1792  0.08
Pd4 0.6817 0.9785 0.6580  0.12



VASP calculation (PBE) on Mn2Cd2Pd7 after structural relaxation.

Properties
- calculated total energy (eV/cell) = -57.17

Cell: 6.5254 4.6958 6.5254 Å, 99.70 101.63 80.30°
Site moments in Bohr magnetons follow the coordinates.
Sites, in units of the cell vectors:
Mn1 0.7352 0.7222 0.2648  4.02
Mn2 0.2648 0.2778 0.7352  4.02
Cd1 0.7980 0.5000 0.7980  -0.01
Cd2 0.2020 0.5000 0.2020  -0.01
Pd1 0.9628 0.2285 0.3947  0.13
Pd2 0.3947 0.7715 0.9628  0.13
Pd3 0.0372 0.7715 0.6053  0.13
Pd4 0.6053 0.2285 0.0372  0.13
Pd5 0.0000 0.0000 0.0000  0.09
Pd6 0.4405 0.7831 0.5595  0.13
Pd7 0.5595 0.2169 0.4405  0.13



VASP calculation (PBE) on Mn2Cd2Pd after structural relaxation.

Properties
- calculated total energy (eV/cell) = -22.69
- ΔE to the lowest computed polymorph (meV/atom) = 94

Cell: 3.7895 3.7895 7.4780 Å, 75.32 75.32 90.00°
Site moments in Bohr magnetons follow the coordinates.
Sites, in units of the cell vectors:
Mn1 0.4096 0.4096 0.1809  3.97
Mn2 0.5904 0.5904 0.8191  3.97
Pd1 0.0000 0.0000 0.0000  0.28
Cd1 0.7500 0.2500 0.5000  -0.02
Cd2 0.2500 0.7500 0.5000  -0.02



VASP calculation (PBE) on MnCdPd3 after structural relaxation.

Properties
- calculated total energy (eV/cell) = -17.99
- ΔE to the lowest computed polymorph (meV/atom) = 1790

Cell: 4.8917 4.8917 4.8917 Å, 90.00 90.00 90.00°
Site moments in Bohr magnetons follow the coordinates.
Sites, in units of the cell vectors:
Mn1 0.5000 0.5000 0.5000  -0.70
Pd1 0.0000 0.5000 0.0000  0.02
Pd2 0.0000 0.0000 0.5000  0.03
Pd3 0.5000 0.0000 0.0000  0.02
Cd1 0.0000 0.0000 0.0000  0.00



VASP calculation (PBE) on MnCdPd4 after structural relaxation.

Properties
- calculated total energy (eV/cell) = -31.64
- ΔE to the lowest computed polymorph (meV/atom) = 109

Cell: 2.8491 4.6462 8.0824 Å, 83.44 79.85 72.15°
Site moments in Bohr magnetons follow the coordinates.
Sites, in units of the cell vectors:
Mn1 0.0000 0.0000 0.0000  3.91
Cd1 0.5000 0.5000 0.5000  -0.01
Pd1 0.6528 0.5478 0.1466  0.17
Pd2 0.3472 0.4522 0.8534  0.17
Pd3 0.1541 0.0260 0.6658  0.07
Pd4 0.8459 0.9740 0.3342  0.07



VASP calculation (PBE) on Mn4Cd2Pd after structural relaxation.

Properties
- calculated total energy (eV/cell) = -38.40

Cell: 4.8265 4.8265 7.6546 Å, 71.62 71.62 90.00°
Site moments in Bohr magnetons follow the coordinates.
Sites, in units of the cell vectors:
Mn1 0.8169 0.8169 0.3662  4.20
Mn2 0.1831 0.1831 0.6338  4.20
Mn3 0.0000 0.5000 0.0000  3.89
Mn4 0.5000 0.0000 0.0000  3.89
Pd1 0.0000 0.0000 0.0000  0.37
Cd1 0.6183 0.6183 0.7635  -0.04
Cd2 0.3817 0.3817 0.2365  -0.04